(1)
CdWAu2 | the Alexandria database | GGA-PBE | relaxed; polymorph energy (0 for the lowest one) = 0.0000 eV/atom; ρ = 16.08 g/cm3
1.0
2.9027 0.0000 0.0000
0.0000 2.9027 0.0000
0.0000 0.0000 8.4593
Cd W Au
1 1 2
Direct
0.0000 0.0000 0.0000
0.0000 0.0000 0.5000
0.5000 0.5000 0.2646
0.5000 0.5000 0.7354

***

(2)
CdPt2Pb | the Alexandria database | GGA-PBE | relaxed; polymorph energy (0 for the lowest one) = 0.0903 eV/atom; ρ = 15.33 g/cm3
1.0
-2.0347 2.0445 4.6216
2.0347 -2.0445 4.6216
2.0347 2.0445 -4.6216
Cd Pt Pb
1 2 1
Direct
0.0000 0.0000 0.0000
0.4994 0.4994 0.0000
0.7487 0.2487 0.5000
0.2506 0.7506 0.5000

***

(3)
RePbNF2 | the Alexandria database | GGA-PBE | relaxed; polymorph energy (0 for the lowest one) = 0.0000 eV/atom; ρ = 9.81 g/cm3; raw formation energy = -0.555 eV per atom
1.0
4.4349 0.0000 0.0000
0.0000 4.4349 0.0000
0.0000 0.0000 3.8314
Re Pb N F
1 1 1 2
Direct
0.0000 0.0000 0.0000
0.5000 0.5000 0.5000
0.0000 0.0000 0.5000
0.0000 0.5000 0.0000
0.5000 0.0000 0.0000

***

(4)
Nd5Er2Ga4 | the Alexandria database | GGA-PBE | relaxed; ρ = 7.15 g/cm3; final energy = -46.66 eV/cell
1.0
11.4827 -1.7905 0.0000
11.4827 1.7905 0.0000
-2.5521 0.0000 7.5426
Nd Er Ga
5 2 4
Direct
0.0000 0.0000 0.0000
0.3528 0.3528 0.0892
0.3711 0.3711 0.6770
0.6289 0.6289 0.3230
0.6472 0.6472 0.9108
0.2242 0.2242 0.6650
0.7758 0.7758 0.3350
0.0802 0.0802 0.5746
0.4944 0.4944 0.3253
0.5056 0.5056 0.6747
0.9198 0.9198 0.4254

***

(5)
RbAcSO6 | the Alexandria database | GGA-PBE | relaxed; ρ = 5.23 g/cm3; raw formation energy = -1.522 eV per atom
1.0
5.4400 0.0000 0.0000
-2.7200 4.7112 0.0000
0.0000 0.0000 5.4578
Rb Ac S O
1 1 1 6
Direct
0.0000 0.0000 0.0000
0.6667 0.3333 0.5258
0.3333 0.6667 0.3559
0.0423 0.5212 0.1938
0.1904 0.3808 0.5443
0.1904 0.8096 0.5443
0.4788 0.5212 0.1938
0.4788 0.9577 0.1938
0.6192 0.8096 0.5443

***

(6)
Ba2TcBr | the Alexandria database | GGA-PBE | relaxed; polymorph energy (0 for the lowest one) = 0.0569 eV/atom; ρ = 5.00 g/cm3; raw formation energy = -0.065 eV per atom
1.0
2.2269 1.2857 8.7465
-2.2269 1.2857 8.7465
0.0000 -2.5714 8.7465
Ba Tc Br
2 1 1
Direct
0.2425 0.2425 0.2425
0.7575 0.7575 0.7575
0.5000 0.5000 0.5000
0.0000 0.0000 0.0000

***

(7)
Cs2SrZn2 | the Alexandria database | GGA-PBE | relaxed; ρ = 3.38 g/cm3; final energy = -10.45 eV/cell
1.0
8.6547 0.0000 0.0000
0.0000 8.6547 0.0000
0.0000 0.0000 6.3611
Cs Sr Zn
4 2 4
Direct
0.1734 0.3266 0.0000
0.3266 0.8266 0.0000
0.6734 0.1734 0.0000
0.8266 0.6734 0.0000
0.0000 0.0000 0.5000
0.5000 0.5000 0.5000
0.1082 0.6082 0.5000
0.3918 0.1082 0.5000
0.6082 0.8918 0.5000
0.8918 0.3918 0.5000

***

(8)
MgZrGeRh | the Alexandria database | GGA-PBE | relaxed; ρ = 6.93 g/cm3; final energy = -24.27 eV/cell
1.0
0.0000 3.2671 3.2671
3.2671 0.0000 3.2671
3.2671 3.2671 0.0000
Mg Zr Ge Rh
1 1 1 1
Direct
0.0000 0.0000 0.0000
0.5000 0.5000 0.5000
0.2500 0.2500 0.2500
0.7500 0.7500 0.7500